{
  "formula": "Ba8PS3Cl4",
  "functional": "PBE",
  "state": "relaxed",
  "m_tot_mub_per_fu": 0.00,
  "raw_formation_energy_mev_per_atom": -1906,
  "energy_ev_per_atom": -4.44,
  "n_ef_per_ev_cell": 5.27,
  "cell": [[-1.228, -3.081, 8.495], [7.204, -5.569, -0.978], [0.935, 8.944, -1.516]],
  "species": ["Ba", "Ba", "Ba", "Ba", "Ba", "Ba", "Ba", "Ba", "S", "S", "S", "Cl", "Cl", "Cl", "Cl", "P"],
  "frac_coords": [[0.758, 0.270, 0.516], [0.242, 0.730, 0.988], [0.254, 0.270, 0.012], [0.743, 0.730, 0.487], [0.758, 0.270, 0.012], [0.746, 0.730, 0.988], [0.257, 0.270, 0.513], [0.242, 0.730, 0.484], [0.500, 0.500, 0.000], [0.000, 0.500, 0.500], [0.500, 0.500, 0.500], [0.000, 0.000, 0.000], [0.500, 0.000, 0.500], [0.500, 0.000, 0.000], [0.000, 0.000, 0.500], [0.000, 0.500, 0.000]]
}

{
  "formula": "Ba6PS3Cl2",
  "functional": "PBE",
  "state": "relaxed",
  "m_tot_mub_per_fu": 0.00,
  "raw_formation_energy_mev_per_atom": -1917,
  "energy_ev_per_atom": -4.67,
  "n_ef_per_ev_cell": 3.65,
  "cell": [[7.938, 0.000, 0.001], [-3.967, 6.875, 0.001], [-1.324, -2.293, 7.494]],
  "species": ["Ba", "Ba", "Ba", "Ba", "Ba", "Ba", "P", "S", "S", "S", "Cl", "Cl"],
  "frac_coords": [[0.594, 0.913, 0.739], [0.087, 0.406, 0.261], [0.913, 0.594, 0.739], [0.767, 0.767, 0.259], [0.233, 0.233, 0.741], [0.406, 0.087, 0.261], [0.000, 0.000, 0.000], [0.831, 0.169, 0.500], [0.169, 0.831, 0.500], [0.500, 0.500, 0.500], [0.666, 0.334, 0.000], [0.334, 0.666, 0.000]]
}

{
  "formula": "Ba8P3SCl4",
  "functional": "PBE",
  "state": "relaxed",
  "m_tot_mub_per_fu": 0.00,
  "raw_formation_energy_mev_per_atom": -1752,
  "energy_ev_per_atom": -4.45,
  "n_ef_per_ev_cell": 3.50,
  "cell": [[-1.586, 6.981, 5.884], [2.195, -5.529, 7.152], [5.985, 1.100, -6.989]],
  "species": ["Ba", "Ba", "Ba", "Ba", "Ba", "Ba", "Ba", "Ba", "S", "Cl", "Cl", "Cl", "Cl", "P", "P", "P"],
  "frac_coords": [[0.738, 0.724, 0.981], [0.757, 0.276, 0.513], [0.258, 0.273, 0.515], [0.757, 0.276, 0.019], [0.243, 0.724, 0.981], [0.742, 0.727, 0.485], [0.243, 0.724, 0.487], [0.262, 0.276, 0.019], [0.000, 0.500, 0.000], [0.000, 0.000, 0.500], [0.000, 0.000, 0.000], [0.500, 0.000, 0.500], [0.500, 0.000, 0.000], [0.500, 0.500, 0.500], [0.500, 0.500, 0.000], [0.000, 0.500, 0.500]]
}

{
  "formula": "BaPSCl2",
  "functional": "PBE",
  "state": "relaxed",
  "m_tot_mub_per_fu": 0.00,
  "raw_formation_energy_mev_per_atom": -1012,
  "relative_energy_mev_per_atom": 0,
  "energy_ev_per_atom": -4.04,
  "n_ef_per_ev_cell": 0.54,
  "cell": [[-2.217, -2.839, 3.376], [-1.180, -3.259, -3.516], [4.356, -2.445, 0.805]],
  "species": ["S", "Cl", "Cl", "Ba", "P"],
  "frac_coords": [[0.000, 0.000, 0.500], [0.500, 0.000, 0.000], [0.000, 0.500, 0.000], [0.500, 0.500, 0.500], [0.000, 0.000, 0.000]]
}

{
  "formula": "BaPSCl2",
  "functional": "PBE",
  "state": "relaxed",
  "m_tot_mub_per_fu": 1.01,
  "raw_formation_energy_mev_per_atom": -165,
  "relative_energy_mev_per_atom": 846,
  "energy_ev_per_atom": -3.20,
  "n_ef_per_ev_cell": 4.42,
  "cell": [[-4.262, -1.859, -3.678], [1.683, -5.615, 0.888], [-4.222, -0.455, 5.122]],
  "species": ["P", "S", "Cl", "Cl", "Ba"],
  "frac_coords": [[0.500, 0.500, 0.500], [0.000, 0.000, 0.500], [0.500, 0.000, 0.000], [0.000, 0.500, 0.000], [0.000, 0.000, 0.000]]
}

{
  "formula": "BaPSCl2",
  "functional": "PBE",
  "state": "relaxed",
  "m_tot_mub_per_fu": 0.00,
  "raw_formation_energy_mev_per_atom": -636,
  "relative_energy_mev_per_atom": 376,
  "energy_ev_per_atom": -3.67,
  "n_ef_per_ev_cell": 2.99,
  "cell": [[-0.312, -4.205, 4.166], [-3.740, -3.093, -3.402], [3.208, -1.964, -1.742]],
  "species": ["Cl", "Cl", "P", "Ba", "S"],
  "frac_coords": [[0.500, 0.000, 0.000], [0.000, 0.500, 0.000], [0.000, 0.000, 0.500], [0.500, 0.500, 0.500], [0.000, 0.000, 0.000]]
}

{
  "formula": "Ba6PS2Cl3",
  "functional": "PBE",
  "state": "relaxed",
  "m_tot_mub_per_fu": 0.00,
  "raw_formation_energy_mev_per_atom": -1883,
  "energy_ev_per_atom": -4.45,
  "n_ef_per_ev_cell": 3.20,
  "cell": [[-5.012, 4.856, -3.738], [-2.299, -3.738, 6.589], [4.923, 5.377, 3.182]],
  "species": ["Ba", "Ba", "Ba", "Ba", "Ba", "Ba", "S", "S", "Cl", "Cl", "Cl", "P"],
  "frac_coords": [[0.924, 0.593, 0.771], [0.746, 0.746, 0.230], [0.593, 0.924, 0.771], [0.076, 0.407, 0.229], [0.407, 0.076, 0.229], [0.254, 0.254, 0.770], [0.333, 0.667, 0.000], [0.667, 0.333, 0.000], [0.500, 0.500, 0.500], [0.834, 0.166, 0.500], [0.166, 0.834, 0.500], [0.000, 0.000, 0.000]]
}

{
  "formula": "Ba4SbPCl2",
  "functional": "PBE",
  "state": "relaxed",
  "m_tot_mub_per_fu": 0.00,
  "raw_formation_energy_mev_per_atom": -1615,
  "energy_ev_per_atom": -4.23,
  "cell": [[4.817, 0.000, 0.000], [0.000, 8.209, -0.084], [0.000, 2.967, 7.863]],
  "species": ["Ba", "Ba", "Ba", "Ba", "Cl", "Cl", "Sb", "P"],
  "frac_coords": [[0.000, 0.733, 0.740], [0.000, 0.267, 0.260], [0.500, 0.273, 0.732], [0.500, 0.727, 0.268], [0.500, 0.000, 0.500], [0.000, 0.000, 0.000], [0.500, 0.500, 0.000], [0.000, 0.500, 0.500]]
}

{
  "formula": "Ba6Sb2PCl",
  "functional": "PBE",
  "state": "relaxed",
  "m_tot_mub_per_fu": 1.97,
  "raw_formation_energy_mev_per_atom": -1145,
  "energy_ev_per_atom": -3.85,
  "n_ef_per_ev_cell": 8.65,
  "cell": [[-6.698, -3.920, 1.670], [3.677, -2.881, 7.985], [-4.415, 9.361, 5.410]],
  "species": ["P", "P", "Ba", "Ba", "Ba", "Ba", "Ba", "Ba", "Ba", "Ba", "Ba", "Ba", "Ba", "Ba", "Sb", "Sb", "Sb", "Sb", "Cl", "Cl"],
  "frac_coords": [[0.000, 0.500, 0.000], [0.500, 0.000, 0.500], [0.175, 0.173, 0.432], [0.359, 0.957, 0.746], [0.661, 0.302, 0.566], [0.641, 0.043, 0.254], [0.675, 0.327, 0.932], [0.141, 0.457, 0.754], [0.859, 0.543, 0.246], [0.161, 0.198, 0.066], [0.825, 0.827, 0.568], [0.339, 0.698, 0.434], [0.839, 0.802, 0.934], [0.325, 0.673, 0.068], [0.556, 0.611, 0.747], [0.944, 0.111, 0.753], [0.056, 0.889, 0.247], [0.444, 0.389, 0.253], [0.000, 0.500, 0.500], [0.500, 0.000, 0.000]]
}

{
  "formula": "BaScP2Cl",
  "functional": "PBE",
  "state": "relaxed",
  "m_tot_mub_per_fu": 0.91,
  "raw_formation_energy_mev_per_atom": 414,
  "relative_energy_mev_per_atom": 1537,
  "energy_ev_per_atom": -3.77,
  "n_ef_per_ev_cell": 4.53,
  "cell": [[5.104, 0.000, 0.000], [0.000, 5.380, 0.000], [0.000, 0.000, 5.104]],
  "species": ["P", "P", "Cl", "Sc", "Ba"],
  "frac_coords": [[0.500, 0.000, 0.000], [0.000, 0.000, 0.500], [0.000, 0.000, 0.000], [0.500, 0.500, 0.500], [0.000, 0.500, 0.000]]
}

{
  "formula": "BaScP2Cl",
  "functional": "PBE",
  "state": "relaxed",
  "m_tot_mub_per_fu": 0.00,
  "raw_formation_energy_mev_per_atom": -1123,
  "relative_energy_mev_per_atom": 0,
  "energy_ev_per_atom": -5.31,
  "n_ef_per_ev_cell": 1.41,
  "cell": [[-4.408, 2.100, 0.931], [-2.170, -4.467, -0.199], [0.810, -0.628, 5.250]],
  "species": ["P", "P", "Sc", "Cl", "Ba"],
  "frac_coords": [[0.000, 0.500, 0.000], [0.500, 0.000, 0.000], [0.000, 0.000, 0.000], [0.000, 0.000, 0.500], [0.500, 0.500, 0.500]]
}

{
  "formula": "BaScPCl2",
  "functional": "PBE",
  "state": "relaxed",
  "m_tot_mub_per_fu": 1.01,
  "raw_formation_energy_mev_per_atom": -370,
  "relative_energy_mev_per_atom": 1302,
  "energy_ev_per_atom": -3.84,
  "n_ef_per_ev_cell": 4.52,
  "cell": [[5.641, 0.000, 0.000], [0.000, 5.641, 0.000], [0.000, 0.000, 6.110]],
  "species": ["Cl", "Cl", "P", "Ba", "Sc"],
  "frac_coords": [[0.000, 0.500, 0.000], [0.500, 0.000, 0.000], [0.000, 0.000, 0.500], [0.000, 0.000, 0.000], [0.500, 0.500, 0.500]]
}